# BaLiAs2

A relaxed BaLiAs2 crystal (GGA-PBEsol, the Alexandria database).

a = 5.1137 Å, b = 5.1137 Å, c = 5.1137 Å
α = 60.00°, β = 60.00°, γ = 60.00°
Fractional positions:
Ba 0.0000 0.0000 0.0000
Li 0.7500 0.7500 0.7500
As 0.2500 0.2500 0.2500
As 0.5000 0.5000 0.5000

Results
* formation enthalpy at 0 K: -0.303 eV/atom
* space group: F-43m, No. 216
* uncorrected energy: -3.886 eV per atom



# Ba2LiAs

A relaxed Ba2LiAs crystal (GGA-PBEsol, the Alexandria database).

a = 6.4112 Å, b = 6.4112 Å, c = 6.4112 Å
α = 136.57°, β = 136.57°, γ = 63.11°
Fractional positions:
Ba 0.0000 0.0000 0.0000
Ba 0.7500 0.2500 0.5000
Li 0.5000 0.5000 0.0000
As 0.2500 0.7500 0.5000

Results
* formation enthalpy at 0 K: -0.421 eV/atom
* space group: I-4m2, No. 119
* uncorrected energy: -3.263 eV per atom



# Ba3Li4As4

A relaxed Ba3Li4As4 crystal (GGA-PBEsol, the Alexandria database).

a = 8.8725 Å, b = 8.8725 Å, c = 8.8725 Å
α = 149.34°, β = 132.66°, γ = 57.46°
Fractional positions:
Ba 0.0000 0.0000 0.0000
Ba 0.3682 0.8682 0.5000
Ba 0.6318 0.1318 0.5000
Li 0.0186 0.3239 0.6948
Li 0.3709 0.6761 0.6948
Li 0.6291 0.3239 0.3052
Li 0.9814 0.6761 0.3052
As 0.2129 0.2129 0.0000
As 0.3254 0.5000 0.8254
As 0.6746 0.5000 0.1746
As 0.7871 0.7871 0.0000

Results
* formation enthalpy at 0 K: -0.944 eV/atom
* space group: Immm, No. 71
* uncorrected energy: -4.102 eV per atom



# BaLiAs2

A relaxed BaLiAs2 crystal (GGA-PBEsol, the Alexandria database).

a = 3.7949 Å, b = 3.7949 Å, c = 6.5363 Å
α = 90.00°, β = 90.00°, γ = 90.00°
Fractional positions:
Ba 0.0000 0.0000 0.0000
Li 0.0000 0.0000 0.5000
As 0.5000 0.5000 0.3184
As 0.5000 0.5000 0.6816

Results
* formation enthalpy at 0 K: -0.637 eV/atom
* space group: P4/mmm, No. 123
* uncorrected energy: -4.219 eV per atom



# BaLiAsO2

A relaxed BaLiAsO2 crystal (GGA-PBEsol, the Alexandria database).

a = 4.1929 Å, b = 4.1929 Å, c = 4.4674 Å
α = 90.00°, β = 90.00°, γ = 90.00°
Fractional positions:
Ba 0.0000 0.0000 0.0000
Li 0.0000 0.0000 0.5000
As 0.5000 0.5000 0.0000
O 0.0000 0.5000 0.5000
O 0.5000 0.0000 0.5000

Results
* space group: P4/mmm, No. 123
* uncorrected energy: -4.178 eV per atom



# Ba2MgAs

A relaxed Ba2MgAs crystal (GGA-PBEsol, the Alexandria database).

a = 6.5379 Å, b = 6.5379 Å, c = 6.5379 Å
α = 136.73°, β = 136.73°, γ = 62.86°
Fractional positions:
Ba 0.0000 0.0000 0.0000
Ba 0.7500 0.2500 0.5000
Mg 0.5000 0.5000 0.0000
As 0.2500 0.7500 0.5000

Results
* formation enthalpy at 0 K: -0.381 eV/atom
* space group: I-4m2, No. 119
* uncorrected energy: -3.162 eV per atom



# Ba2MgAs

A relaxed Ba2MgAs crystal (GGA-PBEsol, the Alexandria database).

a = 3.9280 Å, b = 3.9280 Å, c = 9.4122 Å
α = 90.00°, β = 90.00°, γ = 91.94°
Fractional positions:
Ba 0.0000 0.0000 0.0000
Ba 0.5000 0.5000 0.4206
Mg 0.0000 0.0000 0.6667
As 0.5000 0.5000 0.7876

Results
* formation enthalpy at 0 K: -0.334 eV/atom
* space group: Cmm2, No. 35
* uncorrected energy: -3.115 eV per atom



# BaMgAsSe2

A relaxed BaMgAsSe2 crystal (GGA-PBEsol, the Alexandria database).

a = 5.1956 Å, b = 5.1956 Å, c = 4.9079 Å
α = 90.00°, β = 90.00°, γ = 90.00°
Fractional positions:
Ba 0.0000 0.0000 0.0000
Mg 0.5000 0.5000 0.5000
As 0.5000 0.5000 0.0000
Se 0.0000 0.5000 0.5000
Se 0.5000 0.0000 0.5000

Results
* space group: P4/mmm, No. 123
* uncorrected energy: -4.064 eV per atom



# BaMn2As

A relaxed BaMn2As crystal (GGA-PBEsol, the Alexandria database).

a = 6.4053 Å, b = 6.4053 Å, c = 6.4053 Å
α = 36.75°, β = 36.75°, γ = 36.75°
Fractional positions:
Ba 0.0000 0.0000 0.0000
Mn 0.1952 0.1952 0.1952
Mn 0.5077 0.5077 0.5077
As 0.7979 0.7979 0.7979

Results
* formation enthalpy at 0 K: -0.149 eV/atom
* space group: R3m, No. 160
* uncorrected energy: -6.844 eV per atom



# BaMn2As

A relaxed BaMn2As crystal (GGA-PBEsol, the Alexandria database).

a = 3.3326 Å, b = 3.3326 Å, c = 7.4590 Å
α = 90.00°, β = 90.00°, γ = 90.00°
Fractional positions:
Ba 0.0000 0.0000 0.0000
Mn 0.0000 0.0000 0.5312
Mn 0.5000 0.5000 0.3392
As 0.5000 0.5000 0.6687

Results
* formation enthalpy at 0 K: 0.232 eV/atom
* space group: P4mm, No. 99
* uncorrected energy: -6.463 eV per atom



# BaMnAs3

A relaxed BaMnAs3 crystal (GGA-PBEsol, the Alexandria database).

a = 4.8318 Å, b = 4.8318 Å, c = 4.8318 Å
α = 90.00°, β = 90.00°, γ = 90.00°
Fractional positions:
Ba 0.0000 0.0000 0.0000
Mn 0.5000 0.5000 0.5000
As 0.0000 0.5000 0.5000
As 0.5000 0.0000 0.5000
As 0.5000 0.5000 0.0000

Results
* formation enthalpy at 0 K: -0.301 eV/atom
* space group: Pm-3m, No. 221
* uncorrected energy: -5.747 eV per atom



# BaZrMn2As

A relaxed BaZrMn2As crystal (GGA-PBEsol, the Alexandria database).

a = 4.7342 Å, b = 4.7342 Å, c = 6.0058 Å
α = 90.00°, β = 90.00°, γ = 90.00°
Fractional positions:
Ba 0.0000 0.0000 0.0000
Zr 0.0000 0.0000 0.5000
Mn 0.0000 0.5000 0.5000
Mn 0.5000 0.0000 0.5000
As 0.5000 0.5000 0.0000

Results
* formation enthalpy at 0 K: 1.211 eV/atom
* space group: P4/mmm, No. 123
* uncorrected energy: -5.963 eV per atom